# 1
This record from Alexandria via LeMat-Bulk describes a crystal of La2TaTe relaxed with PBEsol. The functional is meta-GGA SCAN.

Computed properties:
* raw formation energy: 0.129 eV/atom

Unit cell a=7.356 b=7.356 c=7.356 alpha=90.00 beta=90.00 gamma=90.00
Space group F-43m (No. 216)
Inequivalent atoms, fractional coordinates:
La 0.000 0.000 0.000 x4
La 0.250 0.250 0.250 x4
Ta 0.250 0.250 0.750 x4
Te 0.000 0.000 0.500 x4

# 2
This record from Alexandria via LeMat-Bulk describes a crystal of LaTaTe relaxed with PBEsol. The functional is meta-GGA SCAN.

Computed properties:
* raw formation energy: -0.012 eV/atom
* relative energy among the computed polymorphs: 0.0213 eV/atom

Unit cell a=4.8137 b=4.8137 c=3.7842 alpha=90.00 beta=90.00 gamma=120.00
Space group P-6m2 (No. 187)
Inequivalent atoms, fractional coordinates:
La 0.0000 0.0000 0.0000 x1
Ta 0.3333 0.6667 0.5000 x1
Te 0.6667 0.3333 0.5000 x1

# 3
This record from Alexandria via LeMat-Bulk describes a crystal of La2TaTe relaxed with PBEsol. The functional is meta-GGA SCAN.

Computed properties:
* raw formation energy: -0.247 eV/atom

Unit cell a=3.945 b=3.949 c=7.129 alpha=90.00 beta=92.53 gamma=90.00
Space group P2/m (No. 10)
Inequivalent atoms, fractional coordinates:
La 0.022 0.000 0.254 x2
Ta 0.500 0.500 0.500 x1
Te 0.500 0.500 0.000 x1

# 4
This record from Alexandria via LeMat-Bulk describes a crystal of La3TaTi relaxed with PBEsol. The functional is meta-GGA SCAN.

Computed properties:
* DFT formation energy: 0.80 eV per atom

Unit cell a=5.550 b=5.550 c=5.550 alpha=90.00 beta=90.00 gamma=90.00
Space group Pm-3m (No. 221)
Inequivalent atoms, fractional coordinates:
La 0.000 0.000 0.500 x3
Ta 0.000 0.000 0.000 x1
Ti 0.500 0.500 0.500 x1

# 5
This record from Alexandria via LeMat-Bulk describes a crystal of La2TaTl relaxed with PBEsol. The functional is meta-GGA SCAN.

Computed properties:
* DFT formation energy: 0.24 eV per atom
* relative energy among the computed polymorphs: 0.1398 eV/atom

Unit cell a=3.369 b=4.049 c=7.350 alpha=90.00 beta=90.00 gamma=90.00
Space group Pmm2 (No. 25)
Inequivalent atoms, fractional coordinates:
La 0.000 0.000 0.000 x1
La 0.500 0.500 0.280 x1
Ta 0.000 0.000 0.533 x1
Tl 0.500 0.500 0.730 x1

# 6
This record from Alexandria via LeMat-Bulk describes a crystal of La2TaTl relaxed with PBEsol. The functional is meta-GGA SCAN.

Computed properties:
* DFT formation energy: 0.22 eV per atom
* relative energy among the computed polymorphs: 0.1198 eV/atom

Unit cell a=7.535 b=7.535 c=7.535 alpha=90.00 beta=90.00 gamma=90.00
Space group Fm-3m (No. 225)
Inequivalent atoms, fractional coordinates:
La 0.250 0.250 0.250 x8
Ta 0.000 0.000 0.000 x4
Tl 0.000 0.000 0.500 x4

Calculated Fermi-level density of states (states/eV per cell), listed in the same order as above: 19.71 3.96 2.72 7.74 2.85 13.64